# CaNiHg2F, optimized geometry, DFT GGA+U
# final energy: -0.1272 Ry/atom
# calculated density: 7.43 g/cm3
data_CaNiHg2F
_symmetry_space_group_name_H-M 'P 4/m m m'
_symmetry_Int_Tables_number 123
_symmetry_space_group_name_Hall '-P 4 2'
_cell_length_a 5.249
_cell_length_b 5.249
_cell_length_c 4.207
_cell_angle_alpha 90.00
_cell_angle_beta 90.00
_cell_angle_gamma 90.00
loop_
_atom_site_label
_atom_site_fract_x
_atom_site_fract_y
_atom_site_fract_z
_atom_site_occupancy
Ca1 0.000 0.000 0.000 1
Ni1 0.500 0.500 0.000 1
Hg1 0.000 0.500 0.500 1
F1 0.000 0.000 0.500 1